A plane-wave DFT calculation with PBE was carried out for an optimized crystal structure of NaMgBiPd.

Computed properties:
Energy above the lowest structure with this stoichiometry: 0.0 kJ per mole of atoms

Structure (extended XYZ):
```
4
Lattice="0.000 3.465 3.465 3.465 0.000 3.465 3.465 3.465 0.000" Properties=species:S:1:pos:R:3 pbc="T T T"
Na 0.000 0.000 0.000
Mg 5.197 5.197 5.197
Bi 1.732 1.732 1.732
Pd 3.465 3.465 3.465
```